# IrOs7, optimized geometry, DFT PBE
# crystal system	cubic
# DOS at the Fermi energy	48.61	states/eV/cell
# calculated density	22.0	g/cm³
# uncorrected energy	-10.7856	eV/atom
# formation energy	148	meV/atom
data_IrOs7
_chemical_formula_sum 'Ir4 Os28'
_space_group_name_H-M_alt 'F m -3 m'
_space_group_IT_number 225
_space_group_name_Hall '-F 4 2 3'
_cell_length_a 7.7188
_cell_length_b 7.7188
_cell_length_c 7.7188
_cell_angle_alpha 90.00
_cell_angle_beta 90.00
_cell_angle_gamma 90.00
loop_
_atom_site_label
_atom_site_fract_x
_atom_site_fract_y
_atom_site_fract_z
_atom_site_occupancy
Ir1 0.0000 0.0000 0.0000 1
Os1 0.0000 0.0000 0.5000 1
Os2 0.0000 0.2500 0.2500 1